No. 1
A geometry-optimized Sr3CrS structure. Source: Alexandria via LeMat-Bulk, functional PBE.

Calculated values
Excess energy over the best structure of this formula in the dataset   0.000 eV per atom
Density of states at the Fermi level   4.9 states/eV per cell
Raw formation energy   -0.359 eV/atom
Symmetry   Pm-3m, No. 221
Total moment   5.291 μB/f.u.
Electronic total energy   -20.59 eV per cell

abc: 5.7854 5.7854 5.7854
angles: 90.00 90.00 90.00
Last column: nearest neighbours and their distance in Å.
Fractional coordinates of all 5 atoms:
Sr (0.0000, 0.0000, 0.5000)  2 S 2.89
Sr (0.0000, 0.5000, 0.0000)  2 S 2.89
Sr (0.5000, 0.0000, 0.0000)  2 S 2.89
Cr (0.5000, 0.5000, 0.5000)  12 Sr 4.09
S (0.0000, 0.0000, 0.0000)  6 Sr 2.89

No. 2
A geometry-optimized CaBe2CuC structure. Source: Alexandria via LeMat-Bulk, functional PBE.

Calculated values
Density of states at the Fermi level   3.5 states/eV per cell
Symmetry   P4/mmm, No. 123
Formation energy from the elements   15.03 eV/f.u.
Total moment   2.733 μB/f.u.
Electronic total energy   -7.74 eV per cell

abc: 5.6046 5.6046 5.2519
angles: 90.00 90.00 90.00
Last column: nearest neighbours and their distance in Å.
Fractional coordinates of all 5 atoms:
Ca (0.0000, 0.0000, 0.0000)  2 Cu 2.63, 4 Be 2.80
Be (0.0000, 0.5000, 0.0000)  2 Ca 2.80
Be (0.5000, 0.0000, 0.0000)  2 Ca 2.80
Cu (0.0000, 0.0000, 0.5000)  2 Ca 2.63
C (0.5000, 0.5000, 0.5000)  8 Be 3.84, 4 Cu 3.96

No. 3
A geometry-optimized Na3BiAu structure. Source: Alexandria via LeMat-Bulk, functional PBE.

Calculated values
Excess energy over the best structure of this formula in the dataset   0.262 eV per atom
Density of states at the Fermi level   2.1 states/eV per cell
Symmetry   Pm-3m, No. 221
Formation energy from the elements   -0.33 eV/f.u.
Total moment   0.999 μB/f.u.
Electronic total energy   -11.44 eV per cell

abc: 5.4805 5.4805 5.4805
angles: 90.00 90.00 90.00
Last column: nearest neighbours and their distance in Å.
Fractional coordinates of all 5 atoms:
Na (0.0000, 0.0000, 0.5000)  2 Au 2.74
Na (0.0000, 0.5000, 0.0000)  2 Au 2.74
Na (0.5000, 0.0000, 0.0000)  2 Au 2.74
Bi (0.5000, 0.5000, 0.5000)  12 Na 3.88
Au (0.0000, 0.0000, 0.0000)  6 Na 2.74

No. 4
A geometry-optimized Tl3HgBr3 structure. Source: Alexandria via LeMat-Bulk, functional PBE.

Calculated values
Excess energy over the best structure of this formula in the dataset   0.042 eV per atom
Density of states at the Fermi level   0.0 states/eV per cell
Raw formation energy   -0.653 eV/atom
Symmetry   Pm-3n, No. 223
Total moment   0.000 μB/f.u.
Electronic total energy   -33.98 eV per cell

abc: 9.1295 9.1295 9.1295
angles: 90.00 90.00 90.00
Last column: nearest neighbours and their distance in Å.
Fractional coordinates of all 14 atoms:
Tl (0.0000, 0.2500, 0.5000)  4 Br 3.23
Tl (0.0000, 0.7500, 0.5000)  4 Br 3.23
Tl (0.2500, 0.5000, 0.0000)  4 Br 3.23
Tl (0.5000, 0.0000, 0.2500)  4 Br 3.23
Tl (0.5000, 0.0000, 0.7500)  4 Br 3.23
Tl (0.7500, 0.5000, 0.0000)  4 Br 3.23
Hg (0.0000, 0.0000, 0.0000)  12 Tl 5.10, 12 Br 5.10
Hg (0.5000, 0.5000, 0.5000)  12 Tl 5.10, 12 Br 5.10
Br (0.0000, 0.5000, 0.2500)  4 Tl 3.23
Br (0.0000, 0.5000, 0.7500)  4 Tl 3.23
Br (0.2500, 0.0000, 0.5000)  4 Tl 3.23
Br (0.5000, 0.2500, 0.0000)  4 Tl 3.23
Br (0.5000, 0.7500, 0.0000)  4 Tl 3.23
Br (0.7500, 0.0000, 0.5000)  4 Tl 3.23

No. 5
A geometry-optimized TbHfP structure. Source: Alexandria via LeMat-Bulk, functional PBE.

Calculated values
Density of states at the Fermi level   2.4 states/eV per cell
Symmetry   R-3m, No. 166
Formation energy from the elements   -2.58 eV/f.u.
Total moment   0.000 μB/f.u.
Electronic total energy   -45.16 eV per cell

abc: 11.9509 11.9509 11.9509
angles: 17.92 17.92 17.92
Last column: nearest neighbours and their distance in Å.
Fractional coordinates of all 6 atoms:
Tb (0.1221, 0.1221, 0.1221)  3 P 2.72
Tb (0.8779, 0.8779, 0.8779)  3 P 2.72
Hf (0.3679, 0.3679, 0.3679)  3 P 2.58
Hf (0.6321, 0.6321, 0.6321)  3 P 2.58
P (0.2584, 0.2584, 0.2584)  3 Hf 2.58, 3 Tb 2.72
P (0.7416, 0.7416, 0.7416)  3 Hf 2.58, 3 Tb 2.72

No. 6
A geometry-optimized ZnRh2Au structure. Source: Alexandria via LeMat-Bulk, functional PBE.

Calculated values
Density of states at the Fermi level   5.4 states/eV per cell
Symmetry   Pmmm, No. 47
Formation energy from the elements   -0.03 eV/f.u.
Total moment   0.010 μB/f.u.
Electronic total energy   -19.28 eV per cell

abc: 2.8340 4.6266 4.6412
angles: 90.00 90.00 90.00
Last column: nearest neighbours and their distance in Å.
Fractional coordinates of all 4 atoms:
Zn (0.0000, 0.0000, 0.0000)  4 Rh 2.71, 4 Au 2.72, 2 Zn 2.83
Rh (0.0000, 0.5000, 0.5000)  4 Au 2.71, 6 Rh 2.72-2.83
Rh (0.5000, 0.5000, 0.0000)  4 Zn 2.71, 6 Rh 2.72-2.83
Au (0.5000, 0.0000, 0.5000)  4 Rh 2.71, 4 Zn 2.72, 2 Au 2.83

No. 7
A geometry-optimized BeBiIrO6 structure. Source: Alexandria via LeMat-Bulk, functional PBE.

Calculated values
Density of states at the Fermi level   7.2 states/eV per cell
Raw formation energy   -1.096 eV/atom
Symmetry   P-31c, No. 163
Total moment   0.000 μB/f.u.
Electronic total energy   -112.17 eV per cell

abc: 4.9904 4.9904 9.6650
angles: 90.00 90.00 120.00
Last column: nearest neighbours and their distance in Å.
Fractional coordinates of all 18 atoms:
Be (0.3333, 0.6667, 0.2500)  6 O 1.85
Be (0.6667, 0.3333, 0.7500)  6 O 1.85
Bi (0.0000, 0.0000, 0.0000)  6 O 2.31
Bi (0.0000, 0.0000, 0.5000)  6 O 2.31
Ir (0.3333, 0.6667, 0.7500)  6 O 1.93
Ir (0.6667, 0.3333, 0.2500)  6 O 1.93
O (0.0120, 0.3762, 0.1433)  1 Be 1.85, 1 Ir 1.93
O (0.0120, 0.6358, 0.3567)  1 Be 1.85, 1 Ir 1.93
O (0.3642, 0.3762, 0.3567)  1 Be 1.85, 1 Ir 1.93
O (0.3642, 0.9880, 0.1433)  1 Be 1.85, 1 Ir 1.93
O (0.3762, 0.0120, 0.6433)  1 Be 1.85, 1 Ir 1.93
O (0.3762, 0.3642, 0.8567)  1 Be 1.85, 1 Ir 1.93
O (0.6238, 0.6358, 0.1433)  1 Be 1.85, 1 Ir 1.93
O (0.6238, 0.9880, 0.3567)  1 Be 1.85, 1 Ir 1.93
O (0.6358, 0.0120, 0.8567)  1 Be 1.85, 1 Ir 1.93
O (0.6358, 0.6238, 0.6433)  1 Be 1.85, 1 Ir 1.93
O (0.9880, 0.3642, 0.6433)  1 Be 1.85, 1 Ir 1.93
O (0.9880, 0.6238, 0.8567)  1 Be 1.85, 1 Ir 1.93

No. 8
A geometry-optimized LiTiIr structure. Source: Alexandria via LeMat-Bulk, functional PBE.

Calculated values
Excess energy over the best structure of this formula in the dataset   0.000 eV per atom
Density of states at the Fermi level   1.8 states/eV per cell
Symmetry   P3m1, No. 156
Formation energy from the elements   -1.30 eV/f.u.
Total moment   0.000 μB/f.u.
Electronic total energy   -19.97 eV per cell

abc: 4.1831 4.1831 2.8035
angles: 90.00 90.00 120.00
Last column: nearest neighbours and their distance in Å.
Fractional coordinates of all 3 atoms:
Li (0.0000, 0.0000, 0.0000)  3 Ir 2.60, 3 Ti 2.60, 2 Li 2.80
Ti (0.6667, 0.3333, 0.3408)  3 Ir 2.58, 3 Li 2.60, 2 Ti 2.80
Ir (0.3333, 0.6667, 0.6606)  3 Ti 2.58, 3 Li 2.60, 2 Ir 2.80

No. 9
A geometry-optimized HfZr3As4 structure. Source: Alexandria via LeMat-Bulk, functional PBE.

Calculated values
Density of states at the Fermi level   4.7 states/eV per cell
Symmetry   P2/c, No. 13
Formation energy from the elements   -8.37 eV/f.u.
Total moment   0.000 μB/f.u.
Electronic total energy   -125.14 eV per cell

abc: 6.6977 7.7062 6.6943
angles: 90.00 109.19 90.00
Last column: nearest neighbours and their distance in Å.
Fractional coordinates of all 16 atoms:
Hf (0.0000, 0.1269, 0.2500)  6 As 2.71-2.73
Hf (0.0000, 0.8731, 0.7500)  6 As 2.71-2.73
Zr (0.0000, 0.3772, 0.7500)  6 As 2.72-2.75
Zr (0.0000, 0.6228, 0.2500)  6 As 2.72-2.75
Zr (0.5000, 0.1267, 0.7500)  6 As 2.72-2.75
Zr (0.5000, 0.3770, 0.2500)  6 As 2.73-2.76
Zr (0.5000, 0.6230, 0.7500)  6 As 2.73-2.76
Zr (0.5000, 0.8733, 0.2500)  6 As 2.72-2.75
As (0.2464, 0.1233, 0.0001)  2 Hf 2.71-2.73, 4 Zr 2.74-2.76
As (0.2464, 0.8767, 0.5001)  2 Hf 2.71-2.73, 4 Zr 2.74-2.76
As (0.2488, 0.3730, 0.4983)  1 Hf 2.71, 5 Zr 2.72-2.74
As (0.2488, 0.6270, 0.9983)  1 Hf 2.71, 5 Zr 2.72-2.74
As (0.7512, 0.3730, 0.0017)  1 Hf 2.71, 5 Zr 2.72-2.74
As (0.7512, 0.6270, 0.5017)  1 Hf 2.71, 5 Zr 2.72-2.74
As (0.7536, 0.1233, 0.4999)  2 Hf 2.71-2.73, 4 Zr 2.74-2.76
As (0.7536, 0.8767, 0.9999)  2 Hf 2.71-2.73, 4 Zr 2.74-2.76

No. 10
A geometry-optimized Sm3Ni2Ru structure. Source: Alexandria via LeMat-Bulk, functional PBE.

Calculated values
Density of states at the Fermi level   19.7 states/eV per cell
Symmetry   Pnma, No. 62
Formation energy from the elements   -1.59 eV/f.u.
Total moment   0.000 μB/f.u.
Electronic total energy   -146.36 eV per cell

abc: 11.2119 4.1730 11.4191
angles: 90.00 90.00 90.00
Last column: nearest neighbours and their distance in Å.
Fractional coordinates of all 24 atoms:
Sm (0.0518, 0.2500, 0.1230)  5 Ni 2.95-3.03, 1 Ru 2.96
Sm (0.1201, 0.7500, 0.5556)  3 Ru 3.00-3.01, 5 Ni 3.01-3.06
Sm (0.2097, 0.2500, 0.7909)  2 Ru 2.84, 4 Ni 2.87-3.17
Sm (0.2903, 0.7500, 0.2909)  2 Ru 2.84, 4 Ni 2.87-3.17
Sm (0.3799, 0.2500, 0.0556)  3 Ru 3.00-3.01, 5 Ni 3.01-3.06
Sm (0.4482, 0.7500, 0.6230)  5 Ni 2.95-3.03, 1 Ru 2.96
Sm (0.5518, 0.2500, 0.3770)  5 Ni 2.95-3.03, 1 Ru 2.96
Sm (0.6201, 0.7500, 0.9444)  3 Ru 3.00-3.01, 5 Ni 3.01-3.06
Sm (0.7097, 0.2500, 0.7091)  2 Ru 2.84, 4 Ni 2.87-3.17
Sm (0.7903, 0.7500, 0.2091)  2 Ru 2.84, 4 Ni 2.87-3.17
Sm (0.8799, 0.2500, 0.4444)  3 Ru 3.00-3.01, 5 Ni 3.01-3.06
Sm (0.9482, 0.7500, 0.8770)  5 Ni 2.95-3.03, 1 Ru 2.96
Ni (0.0249, 0.7500, 0.3094)  2 Ru 2.53
Ni (0.1884, 0.7500, 0.9987)  1 Ru 2.46
Ni (0.3116, 0.2500, 0.4987)  1 Ru 2.46
Ni (0.4751, 0.2500, 0.8094)  2 Ru 2.53
Ni (0.5249, 0.7500, 0.1906)  2 Ru 2.53
Ni (0.6884, 0.7500, 0.5013)  1 Ru 2.46
Ni (0.8116, 0.2500, 0.0013)  1 Ru 2.46
Ni (0.9751, 0.2500, 0.6906)  2 Ru 2.53
Ru (0.1371, 0.2500, 0.3680)  3 Ni 2.46-2.53
Ru (0.3629, 0.7500, 0.8680)  3 Ni 2.46-2.53
Ru (0.6371, 0.2500, 0.1320)  3 Ni 2.46-2.53
Ru (0.8629, 0.7500, 0.6320)  3 Ni 2.46-2.53

No. 11
A geometry-optimized InAg2Sn2 structure. Source: Alexandria via LeMat-Bulk, functional PBE.

Calculated values
Excess energy over the best structure of this formula in the dataset   0.023 eV per atom
Density of states at the Fermi level   5.3 states/eV per cell
Symmetry   P4/mbm, No. 127
Formation energy from the elements   0.42 eV/f.u.
Total moment   0.000 μB/f.u.
Electronic total energy   -32.06 eV per cell

abc: 7.9829 7.9829 3.7350
angles: 90.00 90.00 90.00
Last column: nearest neighbours and their distance in Å.
Fractional coordinates of all 10 atoms:
In (0.0000, 0.0000, 0.0000)  4 Ag 3.15, 8 Sn 3.50
In (0.5000, 0.5000, 0.0000)  4 Ag 3.15, 8 Sn 3.50
Ag (0.1267, 0.3733, 0.0000)  1 Ag 2.86, 6 Sn 2.94-3.05, 2 In 3.15
Ag (0.3733, 0.8733, 0.0000)  1 Ag 2.86, 6 Sn 2.94-3.05, 2 In 3.15
Ag (0.6267, 0.1267, 0.0000)  1 Ag 2.86, 6 Sn 2.94-3.05, 2 In 3.15
Ag (0.8733, 0.6267, 0.0000)  1 Ag 2.86, 6 Sn 2.94-3.05, 2 In 3.15
Sn (0.1720, 0.6720, 0.5000)  6 Ag 2.94-3.05
Sn (0.3280, 0.1720, 0.5000)  6 Ag 2.94-3.05
Sn (0.6720, 0.8280, 0.5000)  6 Ag 2.94-3.05
Sn (0.8280, 0.3280, 0.5000)  6 Ag 2.94-3.05

No. 12
A geometry-optimized CsHg3Pd structure. Source: Alexandria via LeMat-Bulk, functional PBE.

Calculated values
Excess energy over the best structure of this formula in the dataset   0.445 eV per atom
Density of states at the Fermi level   4.5 states/eV per cell
Symmetry   Cmcm, No. 63
Formation energy from the elements   0.84 eV/f.u.
Total moment   0.000 μB/f.u.
Electronic total energy   -12.22 eV per cell

abc: 13.0617 13.0617 5.8610
angles: 90.00 90.00 154.51
Last column: nearest neighbours and their distance in Å.
Fractional coordinates of all 10 atoms:
Cs (0.1347, 0.8653, 0.7500)  8 Hg 3.73-4.00, 4 Pd 4.11
Cs (0.8653, 0.1347, 0.2500)  8 Hg 3.73-4.00, 4 Pd 4.11
Hg (0.0000, 0.0000, 0.0000)  2 Hg 2.93
Hg (0.0000, 0.0000, 0.5000)  2 Hg 2.93
Hg (0.0262, 0.4649, 0.7500)  1 Pd 2.71, 2 Hg 2.83-2.93
Hg (0.4649, 0.0262, 0.2500)  1 Pd 2.71, 2 Hg 2.83-2.93
Hg (0.5351, 0.9738, 0.7500)  1 Pd 2.71, 2 Hg 2.83-2.93
Hg (0.9738, 0.5351, 0.2500)  1 Pd 2.71, 2 Hg 2.83-2.93
Pd (0.3700, 0.6300, 0.7500)  2 Hg 2.71
Pd (0.6300, 0.3700, 0.2500)  2 Hg 2.71

> Among the records above, which one has the highest total moment?

Sr3CrS

> What is the total moment in the fifth record?

0.000 μB/f.u.

> Among the records above, which one has the highest electronic total energy?

CaBe2CuC